Entry from OQMD: a relaxed structure of TbGdGa2Ir4 (GGA-PBE).

abc: 4.3432 4.3432 9.0641
angles: 90.00 90.00 120.00
Space group P-6m2 (No. 187)
Asymmetric unit:
Tb1 0.0000 0.0000 0.0000 [1 per cell]
Gd1 0.6667 0.3333 0.5000 [1 per cell]
Ga1 0.3333 0.6667 0.2493 [2 per cell]
Ir1 0.0000 0.0000 0.3299 [2 per cell]
Ir2 0.6667 0.3333 0.1669 [2 per cell]

Calculated values
Total moment   0.0 μB per cell


Entry from OQMD: a relaxed structure of Tl3AgO2 (GGA-PBE).

abc: 6.298 12.368 6.842
angles: 90.00 90.00 90.00
Space group Ibam (No. 72)
Asymmetric unit:
Tl1 0.000 0.000 0.250 [4 per cell]
Tl2 0.000 0.276 0.250 [8 per cell]
Ag1 0.000 0.500 0.000 [4 per cell]
O1 0.235 0.383 0.000 [8 per cell]


Entry from OQMD: a relaxed structure of TbBeAu (GGA-PBE).

abc: 6.220 6.220 6.220
angles: 90.00 90.00 90.00
Space group F-43m (No. 216)
Asymmetric unit:
Tb1 0.000 0.000 0.000 [4 per cell]
Be1 0.250 0.250 0.750 [4 per cell]
Au1 0.000 0.000 0.500 [4 per cell]

Calculated values
Total moment   0.1 μB per cell


Which E belongs to each record? In order, -55.17, -86.35, -48.55 eV per cell.
Which volume belongs to each record? In order, 148.07, 133.23, 60.16 Å³/f.u..